Material: PaSi2Ni3
Method: DFT, PBE
State: relaxed

Cell lengths 3.8111, 7.5490, 6.8984 Å; angles 114.60, 90.00, 104.62 degrees
Positions (direct):
Ni  0.3152  0.6304  0.5564
Si  0.8135  0.6271  0.3305
Ni  0.0355  0.0711  0.3649
Ni  0.4036  0.8072  0.3173
Ni  0.9645  0.9289  0.6351
Si  0.1865  0.3729  0.6695
Pa  0.8467  0.6935  0.9294
Si  0.5214  0.0429  0.1820
Si  0.4786  0.9571  0.8180
Pa  0.1533  0.3065  0.0706
Ni  0.5964  0.1928  0.6827
Ni  0.6848  0.3696  0.4436

Summary:
The size of the total moment is 0.00 μB/cell. The energy above the most stable polymorph in this dataset is 64 meV/atom. As for the formation energy (no corrections): -0.64 eV per atom. As for the space group: No. 12.

Material: Tb2TlSi
Method: DFT, PBE
State: relaxed

Cell lengths 4.1103, 4.1103, 8.1223 Å; angles 75.34, 75.34, 60.00 degrees
Positions (direct):
Tb  0.7341  0.7341  0.7976
Si  0.0000  0.0000  0.0000
Tb  0.2659  0.2659  0.2024
Tl  0.5000  0.5000  0.5000

Summary:
The size of the total moment is 0.00 μB/cell. As for the formation energy (no corrections): -0.41 eV per atom. As for the space group: No. 166.

Material: SrHg2Ge
Method: DFT, PBE
State: relaxed

Cell lengths 4.8137, 4.6781, 4.6781 Å; angles 90.00, 90.00, 90.00 degrees
Positions (direct):
Hg  0.0000  0.5000  0.0000
Ge  0.5000  0.5000  0.5000
Sr  0.5000  0.0000  0.0000
Hg  0.0000  0.0000  0.5000

Summary:
The size of the total moment is 0.00 μB/cell. The formation energy comes out at -0.235 eV per atom. As for the space group: No. 123.

Material: GaGePdPt
Method: DFT, PBE
State: relaxed

Cell lengths 4.4604, 4.4604, 4.4604 Å; angles 60.00, 60.00, 60.00 degrees
Positions (direct):
Ga  0.7500  0.7500  0.7500
Pd  0.0000  0.0000  0.0000
Pt  0.5000  0.5000  0.5000
Ge  0.2500  0.2500  0.2500

Summary:
The size of the total moment is 0.00 μB/cell. The formation energy comes out at -0.386 eV per atom. As for the space group: No. 216.

Material: NiAg4Cl
Method: DFT, PBE
State: relaxed

Cell lengths 5.5084, 5.5084, 5.5084 Å; angles 60.00, 60.00, 60.00 degrees
Site moments in Bohr magnetons follow the coordinates.
Positions (direct):
Ag  0.6255  0.6255  0.1234  0.01
Ni  0.0000  0.0000  0.0000  0.60
Cl  0.2500  0.2500  0.2500  0.03
Ag  0.6255  0.1234  0.6255  0.01
Ag  0.6255  0.6255  0.6255  0.01
Ag  0.1234  0.6255  0.6255  0.01

Summary:
The size of the total moment is 0.66 μB/cell. As for the formation energy (no corrections): 0.48 eV per atom. As for the space group: No. 216.

Material: Cd5Au3
Method: DFT, PBE
State: relaxed

Cell lengths 8.1920, 8.1920, 5.7543 Å; angles 90.00, 90.00, 120.01 degrees
Positions (direct):
Au  0.3940  0.3940  0.2500
Cd  0.0000  0.7649  0.7500
Cd  0.2352  0.0000  0.2500
Au  0.0000  0.3940  0.7500
Cd  0.6667  0.3333  0.5000
Cd  0.7649  0.0000  0.7500
Cd  0.3333  0.6667  0.0000
Au  0.6060  0.6060  0.7500
Cd  0.0000  0.2351  0.2500
Au  0.0000  0.6060  0.2500
Au  0.6060  0.0000  0.2500
Au  0.3940  0.0000  0.7500
Cd  0.2352  0.2351  0.7500
Cd  0.6667  0.3333  0.0000
Cd  0.3333  0.6667  0.5000
Cd  0.7649  0.7649  0.2500

Summary:
The size of the total moment is 0.00 μB/cell. The formation energy comes out at -0.155 eV per atom. The energy above the most stable polymorph in this dataset is 12 meV/atom. As for the space group: No. 193.

Material: Cs2MgHg
Method: DFT, PBE
State: relaxed

Cell lengths 10.7036, 10.7036, 8.5270 Å; angles 51.12, 51.12, 90.00 degrees
Positions (direct):
Hg  0.0000  0.0000  0.0000
Mg  0.2500  0.7500  0.5000
Cs  0.0976  0.6250  0.2500
Hg  0.7500  0.2500  0.5000
Mg  0.5000  0.5000  0.0000
Cs  0.8750  0.9024  0.7500
Cs  0.3750  0.3476  0.7500
Cs  0.6524  0.1250  0.2500

Summary:
The size of the total moment is 0.00 μB/cell. The formation energy comes out at 0.147 eV per atom. The energy above the most stable polymorph in this dataset is 77 meV/atom. As for the space group: No. 122.

Material: Pr2Ge3Pd4Pt
Method: DFT, PBE
State: relaxed

Cell lengths 4.2710, 4.2710, 10.7532 Å; angles 90.00, 90.00, 90.00 degrees
Positions (direct):
Pd  0.5000  0.5000  0.0000
Pt  0.5000  0.5000  0.5000
Pd  0.5000  0.0000  0.6491
Pd  0.0000  0.0000  0.0000
Pr  0.5000  0.0000  0.2609
Pd  0.0000  0.5000  0.3509
Ge  0.5000  0.0000  0.8754
Pr  0.0000  0.5000  0.7391
Ge  0.0000  0.5000  0.1246
Ge  0.0000  0.0000  0.5000

Summary:
The size of the total moment is 0.00 μB/cell. The formation energy comes out at -0.764 eV per atom. As for the space group: No. 115.

Material: NbPb
Method: DFT, PBE
State: relaxed

Cell lengths 6.0117, 5.5646, 10.7972 Å; angles 90.00, 90.00, 90.00 degrees
Positions (direct):
Pb  0.2631  0.6184  0.8903
Nb  0.4936  0.8982  0.3443
Pb  0.7631  0.8816  0.1097
Nb  0.7229  0.4171  0.3739
Pb  0.4942  0.6222  0.6192
Nb  0.2229  0.0829  0.6261
Nb  0.7771  0.5829  0.8739
Pb  0.7369  0.1184  0.6097
Pb  0.0058  0.3777  0.1192
Nb  0.9936  0.6018  0.6557
Nb  0.5064  0.3982  0.1557
Nb  0.0064  0.1018  0.8443
Pb  0.5058  0.1222  0.8808
Pb  0.9942  0.8778  0.3808
Pb  0.2369  0.3816  0.3903
Nb  0.2771  0.9171  0.1261

Summary:
The size of the total moment is 0.00 μB/cell. The formation energy comes out at 0.439 eV per atom. The energy above the most stable polymorph in this dataset is 193 meV/atom. As for the space group: No. 19.

Material: TlAuBr2
Method: DFT, PBE
State: relaxed

Cell lengths 5.5743, 5.1915, 8.4415 Å; angles 69.08, 89.12, 122.06 degrees
Positions (direct):
Au  0.5000  0.0000  0.0000
Br  0.4331  0.8555  0.3110
Br  0.5669  0.1445  0.6890
Tl  0.0000  0.0000  0.5000

Summary:
The size of the total moment is 0.00 μB/cell. The energy above the most stable polymorph in this dataset is 8 meV/atom. As for the formation energy (no corrections): -0.47 eV per atom. As for the space group: No. 2.

Material: La2Pm3PrS6
Method: DFT, PBE
State: relaxed

Cell lengths 7.0782, 7.0782, 7.0809 Å; angles 99.59, 99.59, 120.13 degrees
Positions (direct):
S  0.2465  0.2465  0.7421
S  0.9143  0.5813  0.7426
S  0.0857  0.4187  0.2574
Pr  0.0000  0.0000  0.0000
La  0.3339  0.6661  0.0000
La  0.6661  0.3339  0.0000
Pm  0.1661  0.8339  0.5000
S  0.5813  0.9143  0.7426
S  0.7535  0.7535  0.2579
Pm  0.5000  0.5000  0.5000
Pm  0.8339  0.1661  0.5000
S  0.4187  0.0857  0.2574

Summary:
The size of the total moment is 0.00 μB/cell. As for the formation energy (no corrections): -2.08 eV per atom. As for the space group: No. 12.

Material: NdDyPBr
Method: DFT, PBE
State: relaxed

Cell lengths 4.0468, 4.0467, 7.6771 Å; angles 90.00, 105.28, 120.00 degrees
Positions (direct):
Dy  0.1037  0.9498  0.0686
P  0.3138  0.5548  0.8839
Nd  0.5004  0.1482  0.6637
Br  0.9600  0.3780  0.3535

Summary:
The size of the total moment is 0.00 μB/cell. As for the formation energy (no corrections): -1.47 eV per atom. As for the space group: No. 160.